Entry 1:
Computed, not measured: Ni2AsRh after structural relaxation at the PBE level of DFT.

The structure belongs to space group Immm (No. 71); the cell edges are 2.867, 4.249 and 8.423 Å and the angles 90.00°, 90.00° and 90.00°. The asymmetric unit holds Ni at (0.000, 0.000, 0.222), As at (0.000, 0.500, 0.500) and Rh at (0.000, 0.500, 0.000).

The calculated volume is 12.8 Å³ per atom. The total magnetic moment comes out at 0.000 μB per atom. As for the calculated total energy: -23.98 eV/f.u. The calculation puts the calculated formation energy at -0.10 eV/atom. The crystal system is orthorhombic.

Entry 2:
Computed, not measured: Ag2Pt2Pb after structural relaxation at the PBE level of DFT.

The structure belongs to space group I4/mmm (No. 139); the cell edges are 3.959, 3.959 and 13.079 Å and the angles 90.00°, 90.00° and 90.00°. The asymmetric unit holds Ag at (0.000, 0.500, 0.250), Pt at (0.000, 0.000, 0.100) and Pb at (0.000, 0.000, 0.500).

The energy above the most stable polymorph in this dataset comes out at 71 meV/atom. The calculated volume is 20.5 Å³ per atom. The total magnetic moment comes out at 0.000 μB per atom. As for the calculated total energy: -20.89 eV/f.u. The calculation puts the calculated formation energy at 0.12 eV/atom. The crystal system is tetragonal.

Entry 3:
Computed, not measured: Mn3TeSe after structural relaxation at the PBE level of DFT.

The structure belongs to space group Pm-3m (No. 221); the cell edges are 4.831, 4.831 and 4.831 Å and the angles 90.00°, 90.00° and 90.00°. The asymmetric unit holds Mn at (0.000, 0.000, 0.500), Te at (0.500, 0.500, 0.500) and Se at (0.000, 0.000, 0.000).

The energy above the most stable polymorph in this dataset comes out at 0 meV/atom. The calculated volume is 22.6 Å³ per atom. The total magnetic moment comes out at 2.600 μB per atom. As for the calculated total energy: -31.96 eV/f.u. The crystal system is cubic. For the formation energy (no corrections), the calculation gives 210 kJ/mol of formula units.